# Ce2SmC3 (GGA-PBE, relaxed)
# density = 6.85 Mg/m³
# total magnetic moment = 0.0 μB per formula unit
# symmetry = No. 74
# DFT formation energy = -53 kJ/mol of formula units
# DFT total energy = -44.8 eV/f.u.
data_Ce2SmC3
_chemical_formula_sum 'Ce4 Sm2 C6'
_symmetry_space_group_name_H-M 'P 1'
_symmetry_Int_Tables_number 1
_cell_length_a 7.0271
_cell_length_b 7.0271
_cell_length_c 7.0271
_cell_angle_alpha 132.03
_cell_angle_beta 86.28
_cell_angle_gamma 113.28
loop_
_symmetry_equiv_pos_as_xyz
'x,y,z'
loop_
_atom_site_label
_atom_site_type_symbol
_atom_site_fract_x
_atom_site_fract_y
_atom_site_fract_z
Ce1 Ce 0.2399 0.1701 0.0698
Ce2 Ce 0.3997 0.8299 0.5698
Ce3 Ce 0.6003 0.1701 0.4302
Ce4 Ce 0.7601 0.8299 0.9302
Sm1 Sm 0.2094 0.4594 0.7500
Sm2 Sm 0.7906 0.5406 0.2500
C1 C 0.0000 0.3786 0.3786
C2 C 0.0000 0.6214 0.6214
C3 C 0.5000 0.0000 0.0000
C4 C 0.5000 0.3786 0.8786
C5 C 0.5000 0.5000 0.5000
C6 C 0.5000 0.6214 0.1214